[1]
The following is a PBE-GGA calculation of a relaxed structure of Mg3GaSn, from Alexandria via LeMat-Bulk.

Results
- D(E_F): 0.346 states/eV per atom
- Total magnetic moment: 0.00 μB per formula unit
- Formation enthalpy at 0 K: -0.048 eV/atom
- Crystal system: monoclinic
- Space-group type: C2/c (15)
- Offset from the most stable computed form: 0.115 eV per formula unit

Structure (extended XYZ):
```
20
Lattice="7.9464 -6.9250 0.0000 7.9464 6.9250 0.0000 -1.2365 0.0000 4.2924" Properties=species:S:1:pos:R:3 pbc="T T T"
Mg 1.1342 1.1726 1.5099
Mg 6.0201 3.3772 0.6059
Mg 0.5160 -1.1726 3.6561
Mg 5.0920 1.1712 2.6624
Mg 9.2545 3.3772 1.5402
Mg 5.7102 -1.1712 0.5162
Mg 8.9462 1.1712 3.7762
Mg 5.4019 -3.3772 2.7521
Mg 9.5644 -1.1712 1.6300
Mg 14.1404 1.1726 0.6363
Mg 8.6363 -3.3772 3.6864
Mg 13.5222 -1.1726 2.7825
Ga 7.0191 3.2735 3.2193
Ga 7.6373 0.9358 1.0731
Ga 7.0191 -0.9358 3.2193
Ga 7.6373 -3.2735 1.0731
Sn 2.5197 1.3262 4.2364
Sn 3.1380 -1.3262 2.0902
Sn 11.5184 1.3262 2.2021
Sn 12.1367 -1.3262 0.0560
```



[2]
The following is a PBE-GGA calculation of a relaxed structure of Mg5GaSn2, from Alexandria via LeMat-Bulk.

Results
- D(E_F): 0.326 states/eV per atom
- Total magnetic moment: 0.00 μB per formula unit
- Formation enthalpy at 0 K: 0.087 eV/atom
- Crystal system: orthorhombic
- Space-group type: Cmcm (63)

Structure (extended XYZ):
```
16
Lattice="2.5398 -8.3789 0.0000 2.5398 8.3789 0.0000 0.0000 0.0000 11.2798" Properties=species:S:1:pos:R:3 pbc="T T T"
Mg 2.5398 7.7480 6.9518
Mg 2.5398 7.7480 9.9679
Mg 2.5398 3.6667 6.5127
Mg 2.5398 3.6667 10.4070
Mg 2.5398 3.5790 2.8199
Mg 2.5398 -3.5790 8.4598
Mg 2.5398 -3.6667 0.8728
Mg 2.5398 -3.6667 4.7671
Mg 2.5398 -7.7480 1.3119
Mg 2.5398 -7.7480 4.3280
Ga 2.5398 5.6221 8.4598
Ga 2.5398 -5.6221 2.8199
Sn 2.5398 6.1253 1.1514
Sn 2.5398 6.1253 4.4885
Sn 2.5398 -6.1253 6.7913
Sn 2.5398 -6.1253 10.1284
```



[3]
The following is a PBE-GGA calculation of a relaxed structure of MgGa2Sn2, from Alexandria via LeMat-Bulk.

Results
- D(E_F): 0.398 states/eV per atom
- Total magnetic moment: 0.00 μB per formula unit
- Formation enthalpy at 0 K: 0.000 eV/atom
- Crystal system: tetragonal
- Space-group type: P4/mbm (127)
- Offset from the most stable computed form: 0.000 eV per formula unit

Structure (extended XYZ):
```
10
Lattice="7.4166 0.0000 0.0000 0.0000 7.4166 0.0000 0.0000 0.0000 4.1998" Properties=species:S:1:pos:R:3 pbc="T T T"
Mg 0.0000 0.0000 0.0000
Mg 3.7083 3.7083 0.0000
Ga 0.9342 2.7742 0.0000
Ga 2.7742 6.4825 0.0000
Ga 4.6425 0.9342 0.0000
Ga 6.4825 4.6425 0.0000
Sn 1.3366 5.0449 2.0999
Sn 2.3718 1.3366 2.0999
Sn 5.0449 6.0801 2.0999
Sn 6.0801 2.3718 2.0999
```



[4]
The following is a PBE-GGA calculation of a relaxed structure of Mg2GaSn2, from Alexandria via LeMat-Bulk.

Results
- D(E_F): 0.380 states/eV per atom
- Total magnetic moment: 0.00 μB per formula unit
- Formation enthalpy at 0 K: -0.059 eV/atom
- Crystal system: orthorhombic
- Space-group type: Cmc2_1 (36)
- Offset from the most stable computed form: 0.000 eV per formula unit

Structure (extended XYZ):
```
10
Lattice="2.3361 -8.0700 0.0000 2.3361 8.0700 0.0000 0.0000 0.0000 6.2440" Properties=species:S:1:pos:R:3 pbc="T T T"
Mg 2.3361 6.4665 3.1220
Mg 2.3361 3.1977 4.5441
Mg 2.3361 -3.1977 1.4221
Mg 2.3361 -6.4665 0.0000
Ga 2.3361 6.3897 0.0214
Ga 2.3361 -6.3897 3.1434
Sn 2.3361 3.0286 1.4673
Sn 2.3361 0.0703 4.7871
Sn 2.3361 -0.0703 1.6651
Sn 2.3361 -3.0286 4.5893
```



[5]
The following is a PBE-GGA calculation of a relaxed structure of Mg3GaSn, from Alexandria via LeMat-Bulk.

Results
- D(E_F): 0.262 states/eV per atom
- Total magnetic moment: 0.00 μB per formula unit
- Formation enthalpy at 0 K: -0.071 eV/atom
- Crystal system: orthorhombic
- Space-group type: Cmcm (63)
- Offset from the most stable computed form: 0.000 eV per formula unit

Structure (extended XYZ):
```
10
Lattice="1.6047 -7.6509 0.0000 1.6047 7.6509 0.0000 0.0000 0.0000 9.6660" Properties=species:S:1:pos:R:3 pbc="T T T"
Mg 1.6047 6.4870 7.2495
Mg 1.6047 2.2636 5.1481
Mg 1.6047 2.2636 9.3509
Mg 1.6047 -2.2636 0.3151
Mg 1.6047 -2.2636 4.5179
Mg 1.6047 -6.4870 2.4165
Ga 0.0000 0.0000 0.0000
Ga 0.0000 0.0000 4.8330
Sn 1.6047 3.8173 2.4165
Sn 1.6047 -3.8173 7.2495
```



[6]
The following is a PBE-GGA calculation of a relaxed structure of MgGa2Sn2, from Alexandria via LeMat-Bulk.

Results
- D(E_F): 0.515 states/eV per atom
- Total magnetic moment: 0.00 μB per formula unit
- Formation enthalpy at 0 K: 0.103 eV/atom
- Crystal system: tetragonal
- Space-group type: I4/mmm (139)
- Offset from the most stable computed form: 0.515 eV per formula unit

Structure (extended XYZ):
```
5
Lattice="-2.4100 2.4100 5.4824 2.4100 -2.4100 5.4824 2.4100 2.4100 -5.4824" Properties=species:S:1:pos:R:3 pbc="T T T"
Mg 0.0000 0.0000 0.0000
Ga 0.0000 0.0000 4.2689
Ga 0.0000 0.0000 6.6959
Sn 2.4100 0.0000 2.7412
Sn 0.0000 2.4100 2.7412
```